[1]
MoAs2Cl | GGA-PBE | relaxed

- VASP energy (Ry per atom) = -0.363
- formation energy from raw total energies (meV per atom) = 559
- magnetization (μB per cell) = 1.8
- space-group type = No. 47
- theoretical density (g/cm3) = 6.54
- energy above the most stable polymorph in this dataset (eV per atom) = 0.700

abc: 3.336 4.253 5.033
angles: 90.00 90.00 90.00
Fractional positions:
Mo (0.000, 0.000, 0.000)
As (0.000, 0.500, 0.500)
As (0.500, 0.000, 0.500)
Cl (0.500, 0.500, 0.000)


[2]
LuPuFeTc | GGA-PBE | relaxed

- VASP energy (Ry per atom) = -0.693
- magnetization (μB per cell) = 2.6
- space-group type = No. 216
- formation energy (meV per atom) = -11
- theoretical density (g/cm3) = 12.86

abc: 4.712 4.712 4.712
angles: 60.00 60.00 60.00
Fractional positions:
Lu (0.000, 0.000, 0.000)
Pu (0.500, 0.500, 0.500)
Fe (0.250, 0.250, 0.250)
Tc (0.750, 0.750, 0.750)


[3]
PuTlAs2 | GGA-PBE | relaxed

- VASP energy (Ry per atom) = -0.500
- magnetization (μB per cell) = 4.8
- space-group type = No. 166
- formation energy (meV per atom) = -298
- theoretical density (g/cm3) = 9.27
- energy above the most stable polymorph in this dataset (eV per atom) = 0.147

abc: 7.027 7.027 7.027
angles: 35.99 35.99 35.99
Fractional positions:
Pu (0.000, 0.000, 0.000)
Tl (0.500, 0.500, 0.500)
As (0.263, 0.263, 0.263)
As (0.737, 0.737, 0.737)


[4]
BaBe3C | GGA-PBE | relaxed

- VASP energy (Ry per atom) = -0.242
- magnetization (μB per cell) = 0.0
- space-group type = No. 221
- formation energy (meV per atom) = 1166
- theoretical density (g/cm3) = 4.29
- energy above the most stable polymorph in this dataset (eV per atom) = 0.000

abc: 4.088 4.088 4.088
angles: 90.00 90.00 90.00
Fractional positions:
Ba (0.000, 0.000, 0.000)
Be (0.000, 0.500, 0.500)
Be (0.500, 0.000, 0.500)
Be (0.500, 0.500, 0.000)
C (0.500, 0.500, 0.500)


What did the fourth record say?
BaBe3C | GGA-PBE | relaxed

- VASP energy (Ry per atom) = -0.242
- magnetization (μB per cell) = 0.0
- space-group type = No. 221
- formation energy (meV per atom) = 1166
- theoretical density (g/cm3) = 4.29
- energy above the most stable polymorph in this dataset (eV per atom) = 0.000

abc: 4.088 4.088 4.088
angles: 90.00 90.00 90.00
Fractional positions:
Ba (0.000, 0.000, 0.000)
Be (0.000, 0.500, 0.500)
Be (0.500, 0.000, 0.500)
Be (0.500, 0.500, 0.000)
C (0.500, 0.500, 0.500)